{
  "formula": "Al2InSbC",
  "functional": "PBE",
  "state": "optimized geometry",
  "lattice": [[4.214, 0.000, 0.000], [0.000, 4.214, 0.000], [0.000, 0.000, 5.301]],
  "species": ["Al", "Al", "In", "Sb", "C"],
  "frac_coords": [[0.000, 0.500, 0.000], [0.500, 0.000, 0.000], [0.000, 0.000, 0.500], [0.500, 0.500, 0.500], [0.500, 0.500, 0.000]],
  "formation_energy_uncorrected_ev_per_atom": 0.54
}



{
  "formula": "SrAlInC2",
  "functional": "PBE",
  "state": "optimized geometry",
  "lattice": [[4.205, 0.000, 0.000], [0.000, 4.205, 0.000], [0.000, 0.000, 5.585]],
  "species": ["Sr", "Al", "In", "C", "C"],
  "frac_coords": [[0.000, 0.000, 0.000], [0.000, 0.000, 0.500], [0.500, 0.500, 0.000], [0.000, 0.500, 0.500], [0.500, 0.000, 0.500]],
  "ef_mev_per_atom": 1645
}



| no. | VASP energy (eV per cell) | calculated density (g/cm³) |
| --- | --- | --- |
| 1 | -20.9 | 5.34 |
| 2 | -18.4 | 4.26 |